Entry from Alexandria: an optimized crystal structure of AcNdGdY (PBE).

final energy	-0.5331	Ry per atom

Lattice parameters (Å, degrees): 5.895 5.895 5.895 60.00 60.00 60.00
Fractional coordinates of all 4 atoms:
Ac 0.000 0.000 0.000
Nd 0.500 0.500 0.500
Gd 0.750 0.750 0.750
Y 0.250 0.250 0.250

***

Entry from Alexandria: an optimized crystal structure of AcNdGdZn (PBE).

final energy	-0.4348	Ry per atom

Lattice parameters (Å, degrees): 5.614 5.614 5.614 60.00 60.00 60.00
Fractional coordinates of all 4 atoms:
Ac 0.000 0.000 0.000
Nd 0.250 0.250 0.250
Gd 0.750 0.750 0.750
Zn 0.500 0.500 0.500

***

Question: Which formula does entry 1 have?
Answer: AcNdGdY